ScTa2Co | GGA-PBE | optimized geometry

spin magnetization: 0.8 μB per cell
formation energy from the elements: 1.19 eV/f.u.
VASP energy: -8.99 eV per atom
space-group type: P4/mmm (123)

a = 4.664 Å, b = 4.664 Å, c = 3.068 Å
α = 90.00°, β = 90.00°, γ = 90.00°
Site moments in Bohr magnetons follow the coordinates.
Element x y z (fractional)
Sc1 0.000 0.500 0.500  -0.04
Co1 0.500 0.000 0.500  0.97
Ta1 0.000 0.000 0.000  -0.03
Ta2 0.500 0.500 0.000  -0.03